A plane-wave DFT calculation with PBE-GGA was carried out for a relaxed NaTlSiBiTeCl crystal.

Energy   -3.3838 eV/atom
Space group   P1
Energy relative to the lowest polymorph listed for this composition   77 meV/atom
Formation energy (no corrections)   -0.39 eV per atom
DOS(E_F)   0.0 states/eV/cell

abc: 4.335 6.269 7.442
angles: 97.63 97.69 100.44
Element x y z (fractional)
1 Na 0.000 0.000 0.000
2 Tl 0.506 0.566 0.216
3 Si 0.884 0.480 0.869
4 Bi 0.285 0.284 0.656
5 Te 0.091 0.712 0.622
6 Cl 0.571 0.073 0.205

***

A plane-wave DFT calculation with PBE-GGA was carried out for a relaxed NaTlSiBiTeCl crystal.

Energy   -3.4060 eV/atom
Space group   Amm2
Energy relative to the lowest polymorph listed for this composition   55 meV/atom
Formation energy (no corrections)   -0.41 eV per atom
DOS(E_F)   2.9 states/eV/cell

abc: 3.938 11.752 11.752
angles: 18.92 90.00 90.00
Element x y z (fractional)
1 Na 0.000 0.000 0.000
2 Tl 0.500 0.163 0.163
3 Si 0.500 0.320 0.320
4 Bi 0.000 0.777 0.777
5 Te 0.500 0.427 0.427
6 Cl 0.000 0.584 0.584

***

A plane-wave DFT calculation with PBE-GGA was carried out for a relaxed NaTlSiBiTeCl crystal.

Energy   -3.2661 eV/atom
Space group   P1
Energy relative to the lowest polymorph listed for this composition   195 meV/atom
Formation energy (no corrections)   -0.27 eV per atom
DOS(E_F)   0.2 states/eV/cell

abc: 5.720 5.848 6.827
angles: 81.81 65.57 80.38
Element x y z (fractional)
1 Na 0.000 0.000 0.000
2 Tl 0.125 0.455 0.288
3 Si 0.525 0.661 0.831
4 Bi 0.898 0.938 0.563
5 Te 0.460 0.315 0.661
6 Cl 0.744 0.464 0.028

***

A plane-wave DFT calculation with PBE-GGA was carried out for a relaxed NaTlSiBiTeCl crystal.

Energy   -3.3514 eV/atom
Space group   P1
Energy relative to the lowest polymorph listed for this composition   109 meV/atom
Formation energy (no corrections)   -0.36 eV per atom
DOS(E_F)   0.4 states/eV/cell

abc: 4.316 6.166 7.891
angles: 69.64 74.79 72.63
Element x y z (fractional)
1 Na 0.000 0.000 0.000
2 Tl 0.696 0.524 0.059
3 Si 0.091 0.518 0.351
4 Bi 0.458 0.582 0.567
5 Te 0.275 0.094 0.309
6 Cl 0.579 0.064 0.780

***

A plane-wave DFT calculation with PBE-GGA was carried out for a relaxed NaTlSiBiTeCl crystal.

Energy   -3.3748 eV/atom
Space group   P1
Energy relative to the lowest polymorph listed for this composition   86 meV/atom
Formation energy (no corrections)   -0.38 eV per atom
DOS(E_F)   0.0 states/eV/cell

abc: 4.204 6.168 8.424
angles: 75.60 76.37 73.30
Element x y z (fractional)
1 Na 0.000 0.000 0.000
2 Tl 0.139 0.423 0.302
3 Si 0.169 0.487 0.899
4 Bi 0.680 0.692 0.700
5 Te 0.554 0.237 0.679
6 Cl 0.478 0.843 0.207

***

A plane-wave DFT calculation with PBE-GGA was carried out for a relaxed NaTlSiBiTeCl crystal.

Energy   -3.4391 eV/atom
Space group   Pm
Energy relative to the lowest polymorph listed for this composition   22 meV/atom
Formation energy (no corrections)   -0.44 eV per atom
DOS(E_F)   1.2 states/eV/cell

abc: 3.748 4.560 11.255
angles: 90.00 90.24 90.00
Element x y z (fractional)
1 Na 0.000 0.000 0.000
2 Tl 0.493 0.500 0.349
3 Si 0.995 0.500 0.691
4 Bi 0.993 0.000 0.551
5 Te 0.497 0.500 0.851
6 Cl 0.502 0.000 0.167

***

A plane-wave DFT calculation with PBE-GGA was carried out for a relaxed NaTlSiBiTeCl crystal.

Energy   -3.4609 eV/atom
Space group   P1
Energy relative to the lowest polymorph listed for this composition   0 meV/atom
Formation energy (no corrections)   -0.46 eV per atom
DOS(E_F)   1.5 states/eV/cell

abc: 3.707 3.708 13.681
angles: 97.71 97.00 90.01
Element x y z (fractional)
1 Na 0.000 0.000 0.000
2 Tl 0.670 0.652 0.294
3 Si 0.343 0.346 0.684
4 Bi 0.253 0.243 0.476
5 Te 0.873 0.879 0.750
6 Cl 0.520 0.522 0.045

***

A plane-wave DFT calculation with PBE-GGA was carried out for a relaxed NaTlSiBiTeCl crystal.

Energy   -3.4488 eV/atom
Space group   P1
Energy relative to the lowest polymorph listed for this composition   12 meV/atom
Formation energy (no corrections)   -0.45 eV per atom
DOS(E_F)   1.6 states/eV/cell

abc: 3.826 4.177 11.983
angles: 90.40 90.40 90.04
Element x y z (fractional)
1 Na 0.000 0.000 0.000
2 Tl 0.984 0.482 0.309
3 Si 0.493 0.487 0.626
4 Bi 0.490 0.984 0.476
5 Te 0.996 0.492 0.768
6 Cl 0.501 0.502 0.052